# Sr2HoMgHg6 PBE optimized geometry
data_Sr2HoMgHg6
_chemical_formula_sum 'Sr2 Ho1 Mg1 Hg6'
_cell_length_a 4.9173
_cell_length_b 6.1696
_cell_length_c 9.8508
_cell_angle_alpha 89.35
_cell_angle_beta 89.87
_cell_angle_gamma 66.75
_symmetry_space_group_name_H-M 'P 1'
_symmetry_Int_Tables_number 1
_symmetry_space_group_name_Hall 'P 1'
loop_
_atom_site_label
_atom_site_fract_x
_atom_site_fract_y
_atom_site_fract_z
Sr1 0.2108 0.0816 0.3116
Sr2 0.7892 0.9184 0.6884
Ho1 0.0000 0.5000 0.0000
Mg1 0.5000 0.5000 0.5000
Hg1 0.0941 0.3112 0.6392
Hg2 0.3032 0.8932 0.9650
Hg3 0.4953 0.5104 0.2104
Hg4 0.5047 0.4896 0.7896
Hg5 0.6968 0.1068 0.0350
Hg6 0.9059 0.6888 0.3608
# Total DFT energy (no corrections) = -1.52 eV/atom
# Symmetry = No. 2
# Total magnetic moment = 0.0 μB/f.u.

---

# MgCd4 PBE optimized geometry
data_MgCd4
_chemical_formula_sum 'Mg1 Cd4'
_cell_length_a 4.8983
_cell_length_b 4.8983
_cell_length_c 5.2826
_cell_angle_alpha 103.30
_cell_angle_beta 103.30
_cell_angle_gamma 67.70
_symmetry_space_group_name_H-M 'P 1'
_symmetry_Int_Tables_number 1
_symmetry_space_group_name_Hall 'P 1'
loop_
_atom_site_label
_atom_site_fract_x
_atom_site_fract_y
_atom_site_fract_z
Mg1 0.0000 0.0000 0.0000
Cd1 0.1991 0.1991 0.6020
Cd2 0.3961 0.3961 0.1959
Cd3 0.6039 0.6039 0.8041
Cd4 0.8009 0.8009 0.3980
# Total DFT energy (no corrections) = -1.08 eV/atom
# Symmetry = No. 12
# Total magnetic moment = 0.0 μB/f.u.

---

What is the formula in the first record?
Sr2HoMgHg6

---

Which formula does entry 1 have?
Sr2HoMgHg6

---

Which of these has the lowest total DFT energy (no corrections)?
Sr2HoMgHg6